An optimized crystal structure of Li2MnAu, computed with GGA-PBE.

Results
The formation energy is -0.07 eV/atom. As for the uncorrected energy: -16.535 eV for the cell shown. The value obtained for the density of states at the Fermi level is 2.00 states/eV/f.u. The spin magnetization comes out at 3.756 μB per cell.

Cell and atoms, written as extended XYZ:
```
4
Lattice="4.625 0.000 0.000 0.000 2.790 0.016 0.000 0.308 4.863" Properties=species:S:1:pos:R:3 pbc="T T T"
Au 2.313 2.324 3.659
Li 0.000 3.076 4.849
Li 0.000 1.572 2.470
Mn 2.313 0.775 1.220
```